[1]
{"formula": "HfSn2Au", "functional": "PBE", "state": "optimized geometry", "lattice": [[0.0000, 3.5510, 3.5510], [3.5510, 0.0000, 3.5510], [3.5510, 3.5510, 0.0000]], "species": ["Hf", "Au", "Sn", "Sn"], "frac_coords": [[0.0000, 0.0000, 0.0000], [0.5000, 0.5000, 0.5000], [0.2500, 0.2500, 0.2500], [0.7500, 0.7500, 0.7500]], "spacegroup": "Fm-3m, No. 225", "formation_enthalpy_0k_mev_per_atom": 99.9}

---

[2]
{"formula": "BeF", "functional": "PBE", "state": "optimized geometry", "lattice": [[5.7269, 0.0000, 0.0000], [0.0000, 5.7269, 0.0000], [0.0000, 0.0000, 5.7269]], "species": ["Be", "Be", "Be", "Be", "Be", "Be", "Be", "Be", "F", "F", "F", "F", "F", "F", "F", "F"], "frac_coords": [[0.1866, 0.1866, 0.1866], [0.1866, 0.8134, 0.8134], [0.8134, 0.1866, 0.8134], [0.8134, 0.8134, 0.1866], [0.6866, 0.6866, 0.6866], [0.6866, 0.3134, 0.3134], [0.3134, 0.6866, 0.3134], [0.3134, 0.3134, 0.6866], [0.3520, 0.3520, 0.3520], [0.3520, 0.6480, 0.6480], [0.6480, 0.3520, 0.6480], [0.6480, 0.6480, 0.3520], [0.8520, 0.8520, 0.8520], [0.8520, 0.1480, 0.1480], [0.1480, 0.8520, 0.1480], [0.1480, 0.1480, 0.8520]], "spacegroup": "I-43m, No. 217", "energy_ev_per_fu": -7.5}

---

[3]
{"formula": "Ac4SnAu", "functional": "PBE", "state": "optimized geometry", "lattice": [[-5.0960, -1.6975, 4.2286], [3.7322, -7.8528, -2.4410], [5.3825, 5.1958, 4.9398]], "species": ["Ac", "Ac", "Ac", "Ac", "Ac", "Ac", "Ac", "Ac", "Sn", "Sn", "Au", "Au"], "frac_coords": [[0.0366, 0.2160, 0.8515], [0.7711, 0.6954, 0.6282], [0.3149, 0.6355, 0.8515], [0.3570, 0.9327, 0.6282], [0.6430, 0.0673, 0.3718], [0.6851, 0.3645, 0.1485], [0.2289, 0.3046, 0.3718], [0.9634, 0.7840, 0.1485], [0.3704, 0.6204, 0.2407], [0.6296, 0.3796, 0.7593], [0.2510, 0.0010, 0.0019], [0.7490, 0.9990, 0.9981]], "spacegroup": "C2/c, No. 15", "formation_enthalpy_0k_mev_per_atom": -458.5}

---

[4]
{"formula": "Pr12Pb3C5", "functional": "PBE", "state": "optimized geometry", "lattice": [[-13.3034, -3.3416, -4.6940], [0.3804, -0.8697, 14.4665], [3.3300, 13.4953, -4.1192]], "species": ["Pb", "Pb", "Pb", "Pb", "Pb", "Pb", "Pb", "Pb", "Pb", "Pb", "Pb", "Pb", "C", "C", "C", "C", "C", "C", "C", "C", "C", "C", "C", "C", "C", "C", "C", "C", "C", "C", "C", "C", "Pr", "Pr", "Pr", "Pr", "Pr", "Pr", "Pr", "Pr", "Pr", "Pr", "Pr", "Pr", "Pr", "Pr", "Pr", "Pr", "Pr", "Pr", "Pr", "Pr", "Pr", "Pr", "Pr", "Pr", "Pr", "Pr", "Pr", "Pr", "Pr", "Pr", "Pr", "Pr", "Pr", "Pr", "Pr", "Pr", "Pr", "Pr", "Pr", "Pr", "Pr", "Pr", "Pr", "Pr", "Pr", "Pr", "Pr", "Pr"], "frac_coords": [[0.7500, 0.3750, 0.1250], [0.8750, 0.7500, 0.1250], [0.3750, 0.7500, 0.6250], [0.2500, 0.1250, 0.3750], [0.8750, 0.1250, 0.2500], [0.3750, 0.6250, 0.2500], [0.6250, 0.3750, 0.7500], [0.1250, 0.8750, 0.7500], [0.7500, 0.8750, 0.6250], [0.6250, 0.2500, 0.3750], [0.1250, 0.2500, 0.8750], [0.2500, 0.6250, 0.8750], [0.1250, 0.3750, 0.2500], [0.0000, 0.5000, 0.0000], [0.0000, 0.0000, 0.0000], [0.3750, 0.2500, 0.1250], [0.5000, 0.0000, 0.5000], [0.5000, 0.5000, 0.0000], [0.1250, 0.7500, 0.3750], [0.7500, 0.1250, 0.8750], [0.7500, 0.6250, 0.3750], [0.3750, 0.1250, 0.7500], [0.6250, 0.8750, 0.2500], [0.5000, 0.5000, 0.5000], [0.5000, 0.0000, 0.0000], [0.0000, 0.0000, 0.5000], [0.2500, 0.3750, 0.6250], [0.2500, 0.8750, 0.1250], [0.0000, 0.5000, 0.5000], [0.8750, 0.2500, 0.6250], [0.6250, 0.7500, 0.8750], [0.8750, 0.6250, 0.7500], [0.7001, 0.1132, 0.0175], [0.3174, 0.5175, 0.4043], [0.9825, 0.3868, 0.2999], [0.5175, 0.2001, 0.1132], [0.5870, 0.7001, 0.6826], [0.9825, 0.5957, 0.1826], [0.3174, 0.7999, 0.4130], [0.0957, 0.9130, 0.1132], [0.5957, 0.9825, 0.6826], [0.7001, 0.5870, 0.1826], [0.7999, 0.4825, 0.3868], [0.8174, 0.9043, 0.0175], [0.1132, 0.7001, 0.5175], [0.3868, 0.4043, 0.0870], [0.0870, 0.9043, 0.3868], [0.4130, 0.1132, 0.5957], [0.0870, 0.1826, 0.2001], [0.4825, 0.6826, 0.0957], [0.8174, 0.9130, 0.2999], [0.1132, 0.4130, 0.0957], [0.3868, 0.9825, 0.7999], [0.5957, 0.6132, 0.4130], [0.9043, 0.8174, 0.5175], [0.7999, 0.3174, 0.9130], [0.4043, 0.3868, 0.5870], [0.0957, 0.1826, 0.4825], [0.2001, 0.6826, 0.0870], [0.1826, 0.0870, 0.7001], [0.6132, 0.0175, 0.2001], [0.8868, 0.5870, 0.9043], [0.5175, 0.3174, 0.9043], [0.5870, 0.8868, 0.4043], [0.9130, 0.8174, 0.7999], [0.9130, 0.0957, 0.6132], [0.8868, 0.2999, 0.4825], [0.1826, 0.0957, 0.9825], [0.6132, 0.5957, 0.9130], [0.4043, 0.0175, 0.3174], [0.2999, 0.4130, 0.8174], [0.2001, 0.5175, 0.6132], [0.9043, 0.0870, 0.8868], [0.6826, 0.2001, 0.5870], [0.4825, 0.7999, 0.8868], [0.0175, 0.4043, 0.8174], [0.4130, 0.2999, 0.3174], [0.0175, 0.6132, 0.7001], [0.6826, 0.4825, 0.5957], [0.2999, 0.8868, 0.9825]], "spacegroup": "Ia-3d, No. 230", "formation_enthalpy_0k_mev_per_atom": -98.2}

---

[5]
{"formula": "TePbW2", "functional": "PBE", "state": "optimized geometry", "lattice": [[-2.8355, 1.3504, -1.0783], [-1.5274, -0.9893, 2.7776], [2.0113, 7.1359, 3.6476]], "species": ["Pb", "Te", "W", "W"], "frac_coords": [[0.0000, 0.0000, 0.4467], [0.5000, 0.5000, 0.8283], [0.0000, 0.0000, 0.0321], [0.5000, 0.5000, 0.1929]], "spacegroup": "P4mm, No. 99", "energy_ev_per_fu": -31.0}

---

[6]
{"formula": "PaInAgIr", "functional": "PBE", "state": "optimized geometry", "lattice": [[4.8815, 0.0000, 0.0000], [2.4407, 4.2275, 0.0000], [2.4407, 1.4092, 3.9857]], "species": ["Pa", "In", "Ag", "Ir"], "frac_coords": [[0.7500, 0.7500, 0.7500], [0.2500, 0.2500, 0.2500], [0.0000, 0.0000, 0.0000], [0.5000, 0.5000, 0.5000]], "spacegroup": "F-43m, No. 216", "formation_enthalpy_0k_mev_per_atom": -212.4}

---

[7]
{"formula": "RbW2BrCl", "functional": "PBE", "state": "optimized geometry", "lattice": [[4.6622, 0.0000, 0.0000], [0.0000, 9.5109, 0.0000], [0.0000, 0.0000, 4.6622]], "species": ["Br", "Rb", "W", "W", "Cl"], "frac_coords": [[0.0000, 0.0000, 0.0000], [0.0000, 0.5000, 0.0000], [0.0000, 0.0000, 0.5000], [0.5000, 0.0000, 0.0000], [0.5000, 0.5000, 0.5000]], "spacegroup": "P4/mmm, No. 123", "energy_ev_per_fu": -23.0}

---

[8]
{"formula": "Pm2CdRe", "functional": "PBE", "state": "optimized geometry", "lattice": [[3.1321, 0.0000, 0.0000], [1.5661, 2.7125, 0.0000], [1.5661, 0.9042, 11.4641]], "species": ["Re", "Cd", "Pm", "Pm"], "frac_coords": [[0.0000, 0.0000, 0.0000], [0.5000, 0.5000, 0.5000], [0.0812, 0.0812, 0.7565], [0.9188, 0.9188, 0.2435]], "spacegroup": "R-3m, No. 166", "formation_enthalpy_0k_mev_per_atom": 752.4}

---

[9]
{"formula": "Tm2PaTe4", "functional": "PBE", "state": "optimized geometry", "lattice": [[4.2158, 0.0000, 0.0000], [-2.1079, 7.1125, 0.0000], [0.0000, 0.0000, 14.7542]], "species": ["Tm", "Tm", "Tm", "Tm", "Pa", "Pa", "Te", "Te", "Te", "Te", "Te", "Te", "Te", "Te"], "frac_coords": [[0.1344, 0.2688, 0.4336], [0.8656, 0.7312, 0.9336], [0.1344, 0.2688, 0.0664], [0.8656, 0.7312, 0.5664], [0.6234, 0.2468, 0.7500], [0.3766, 0.7532, 0.2500], [0.7757, 0.5514, 0.1226], [0.7757, 0.5514, 0.3774], [0.2243, 0.4486, 0.8774], [0.2243, 0.4486, 0.6226], [0.9582, 0.9165, 0.7500], [0.0418, 0.0835, 0.2500], [0.5000, 0.0000, 0.0000], [0.5000, 0.0000, 0.5000]], "spacegroup": "Cmcm, No. 63", "energy_ev_per_fu": -38.3}

---

[10]
{"formula": "NdYCd5", "functional": "PBE", "state": "optimized geometry", "lattice": [[5.2156, 0.0000, 0.0000], [0.0000, 5.2156, 0.0000], [0.0000, 0.0000, 6.9006]], "species": ["Nd", "Y", "Cd", "Cd", "Cd", "Cd", "Cd"], "frac_coords": [[0.0000, 0.0000, 0.5000], [0.5000, 0.5000, 0.0000], [0.0000, 0.5000, 0.7711], [0.0000, 0.5000, 0.2289], [0.5000, 0.0000, 0.7711], [0.5000, 0.0000, 0.2289], [0.5000, 0.5000, 0.5000]], "spacegroup": "P4/mmm, No. 123", "formation_enthalpy_0k_mev_per_atom": -129.4}

---

[11]
{"formula": "Tl12SnHg6", "functional": "PBE", "state": "optimized geometry", "lattice": [[-5.8213, 3.1155, 5.3632], [-4.9716, -2.3436, -6.4922], [1.5260, -7.5591, 3.5901]], "species": ["Tl", "Tl", "Tl", "Tl", "Tl", "Tl", "Tl", "Tl", "Tl", "Tl", "Tl", "Tl", "Sn", "Hg", "Hg", "Hg", "Hg", "Hg", "Hg"], "frac_coords": [[0.9206, 0.6551, 0.6586], [0.6586, 0.9206, 0.6551], [0.6551, 0.6586, 0.9206], [0.0794, 0.3449, 0.3414], [0.3414, 0.0794, 0.3449], [0.3449, 0.3414, 0.0794], [0.9140, 0.8721, 0.3307], [0.1279, 0.6693, 0.0860], [0.6693, 0.0860, 0.1279], [0.0860, 0.1279, 0.6693], [0.8721, 0.3307, 0.9140], [0.3307, 0.9140, 0.8721], [0.0000, 0.0000, 0.0000], [0.5106, 0.7488, 0.2583], [0.7417, 0.4894, 0.2512], [0.2512, 0.7417, 0.4894], [0.4894, 0.2512, 0.7417], [0.2583, 0.5106, 0.7488], [0.7488, 0.2583, 0.5106]], "spacegroup": "R-3, No. 148", "formation_enthalpy_0k_mev_per_atom": 9.4}

---

[12]
{"formula": "Si2Se", "functional": "PBE", "state": "optimized geometry", "lattice": [[-1.1827, 3.0645, -3.2042], [-3.8782, 0.8922, 2.2848], [2.5092, 3.8499, 2.7559]], "species": ["Si", "Si", "Si", "Si", "Se", "Se"], "frac_coords": [[0.0000, 0.0000, 0.0000], [0.5000, 0.5000, 0.0000], [0.5000, 0.0000, 0.1868], [0.0000, 0.5000, 0.8132], [0.5000, 0.0000, 0.6208], [0.0000, 0.5000, 0.3792]], "spacegroup": "P4/nmm, No. 129", "energy_ev_per_fu": -13.6}

---

[13]
{"formula": "CsBaSeBr", "functional": "PBE", "state": "optimized geometry", "lattice": [[-1.2577, -3.6391, -2.9201], [4.5980, 0.4940, 1.4034], [-2.2598, -2.7216, 8.3689]], "species": ["Cs", "Ba", "Se", "Br"], "frac_coords": [[0.4836, 0.1399, 0.6390], [0.1187, 0.9573, 0.0911], [0.3292, 0.5625, 0.9071], [0.9464, 0.3712, 0.3325]], "spacegroup": "R3m, No. 160", "energy_ev_per_fu": -15.2}

---

[14]
{"formula": "Ni2PdAu", "functional": "PBE", "state": "optimized geometry", "lattice": [[-0.9069, -2.1645, -2.7739], [-0.7112, -2.9189, 2.5102], [-3.7238, 1.1694, 0.3049]], "species": ["Ni", "Ni", "Au", "Pd"], "frac_coords": [[0.0000, 0.0000, 0.5000], [0.0000, 0.5000, 0.0000], [0.5000, 0.0000, 0.0000], [0.5000, 0.5000, 0.5000]], "spacegroup": "P4/mmm, No. 123", "formation_enthalpy_0k_mev_per_atom": 66.0}

---

[15]
{"formula": "Li2Zn2Ni", "functional": "PBE", "state": "optimized geometry", "lattice": [[-2.4906, 6.2401, 1.6078], [-4.1344, -2.8696, 4.7327], [1.9490, 0.2934, 1.8805]], "species": ["Ni", "Ni", "Zn", "Zn", "Zn", "Zn", "Li", "Li", "Li", "Li"], "frac_coords": [[0.0000, 0.0000, 0.0000], [0.5000, 0.5000, 0.0000], [0.1694, 0.6694, 0.5000], [0.6694, 0.8306, 0.5000], [0.8306, 0.3306, 0.5000], [0.3306, 0.1694, 0.5000], [0.3697, 0.8697, 0.0000], [0.8697, 0.6303, 0.0000], [0.6303, 0.1303, 0.0000], [0.1303, 0.3697, 0.0000]], "spacegroup": "P4/mbm, No. 127", "formation_enthalpy_0k_mev_per_atom": 51.1}

---

[16]
{"formula": "BaGa2Ge2O8", "functional": "PBE", "state": "optimized geometry", "lattice": [[-5.2330, -6.4461, -3.5517], [6.0549, -7.5835, 1.4383], [-3.2392, -0.5867, 9.2413]], "species": ["Ba", "Ba", "Ba", "Ba", "Ga", "Ga", "Ga", "Ga", "Ga", "Ga", "Ga", "Ga", "Ge", "Ge", "Ge", "Ge", "Ge", "Ge", "Ge", "Ge", "O", "O", "O", "O", "O", "O", "O", "O", "O", "O", "O", "O", "O", "O", "O", "O", "O", "O", "O", "O", "O", "O", "O", "O", "O", "O", "O", "O", "O", "O", "O", "O"], "frac_coords": [[0.2086, 0.0657, 0.4345], [0.2914, 0.4345, 0.0657], [0.7914, 0.9343, 0.5655], [0.7086, 0.5655, 0.9343], [0.3870, 0.7983, 0.0663], [0.1130, 0.0663, 0.7983], [0.6130, 0.2017, 0.9337], [0.8870, 0.9337, 0.2017], [0.5275, 0.2959, 0.4479], [0.9725, 0.4479, 0.2959], [0.4725, 0.7041, 0.5521], [0.0275, 0.5521, 0.7041], [0.8973, 0.2881, 0.5709], [0.6027, 0.5709, 0.2881], [0.1027, 0.7119, 0.4291], [0.3973, 0.4291, 0.7119], [0.0197, 0.7881, 0.9411], [0.4803, 0.9411, 0.7881], [0.9803, 0.2119, 0.0589], [0.5197, 0.0589, 0.2119], [0.0032, 0.1282, 0.6304], [0.4968, 0.6304, 0.1282], [0.9968, 0.8718, 0.3696], [0.5032, 0.3696, 0.8718], [0.4539, 0.1457, 0.3568], [0.0461, 0.3568, 0.1457], [0.5461, 0.8543, 0.6432], [0.9539, 0.6432, 0.8543], [0.7212, 0.2294, 0.5239], [0.7788, 0.5239, 0.2294], [0.2788, 0.7706, 0.4761], [0.2212, 0.4761, 0.7706], [0.2036, 0.7329, 0.0238], [0.2964, 0.0238, 0.7329], [0.7964, 0.2671, 0.9762], [0.7036, 0.9762, 0.2671], [0.8888, 0.4274, 0.6848], [0.6112, 0.6848, 0.4274], [0.1112, 0.5726, 0.3152], [0.3888, 0.3152, 0.5726], [0.3820, 0.9452, 0.1835], [0.1180, 0.1835, 0.9452], [0.6180, 0.0548, 0.8165], [0.8820, 0.8165, 0.0548], [0.9969, 0.3177, 0.4328], [0.5031, 0.4328, 0.3177], [0.0031, 0.6823, 0.5672], [0.4969, 0.5672, 0.6823], [0.4939, 0.8192, 0.9204], [0.0061, 0.9204, 0.8192], [0.5061, 0.1808, 0.0796], [0.9939, 0.0796, 0.1808]], "spacegroup": "C2/c, No. 15", "energy_ev_per_fu": -83.0}

---

[17]
{"formula": "NaSr3Ag", "functional": "PBE", "state": "optimized geometry", "lattice": [[-4.0272, 0.0203, 4.7654], [-1.4670, -5.9414, -1.2144], [4.5340, -1.9043, 3.8397]], "species": ["Sr", "Sr", "Sr", "Ag", "Na"], "frac_coords": [[0.0000, 0.5000, 0.0000], [0.0000, 0.0000, 0.5000], [0.5000, 0.0000, 0.0000], [0.0000, 0.0000, 0.0000], [0.5000, 0.5000, 0.5000]], "spacegroup": "Pm-3m, No. 221", "formation_enthalpy_0k_mev_per_atom": -71.3}

---

[18]
{"formula": "PuAgI6", "functional": "PBE", "state": "optimized geometry", "lattice": [[-5.1267, -5.9358, -1.1772], [7.3151, -3.0642, -0.0421], [-0.8705, 1.0167, 6.9701]], "species": ["Pu", "Ag", "I", "I", "I", "I", "I", "I"], "frac_coords": [[0.0000, 0.0000, 0.5000], [0.0000, 0.0000, 0.0000], [0.2930, 0.9682, 0.2968], [0.9682, 0.2930, 0.2968], [0.0318, 0.7070, 0.7032], [0.7070, 0.0318, 0.7032], [0.2739, 0.2739, 0.8408], [0.7261, 0.7261, 0.1592]], "spacegroup": "C2/m, No. 12", "energy_ev_per_fu": -31.0}

---

[19]
{"formula": "Th4Zn5Au2", "functional": "PBE", "state": "optimized geometry", "lattice": [[3.7444, 0.0000, 0.0000], [0.0000, 7.3212, 0.0062], [0.0000, -0.6977, 9.5155]], "species": ["Th", "Th", "Th", "Th", "Zn", "Zn", "Zn", "Zn", "Zn", "Au", "Au"], "frac_coords": [[0.5000, 0.7304, 0.5619], [0.5000, 0.1788, 0.8848], [0.5000, 0.2696, 0.4381], [0.5000, 0.8212, 0.1152], [0.0000, 0.5488, 0.2912], [0.0000, 0.2043, 0.1578], [0.0000, 0.5000, 0.0000], [0.0000, 0.7957, 0.8422], [0.0000, 0.4512, 0.7088], [0.0000, 0.0691, 0.6448], [0.0000, 0.9309, 0.3552]], "spacegroup": "P2/m, No. 10", "formation_enthalpy_0k_mev_per_atom": -276.3}